# Tb5Dy2Sc2, optimized geometry, DFT PBE-GGA
data_Tb5Dy2Sc2
_chemical_formula_sum 'Tb10 Dy4 Sc4'
_symmetry_space_group_name_H-M 'P 1'
_symmetry_Int_Tables_number 1
_cell_length_a 12.4497
_cell_length_b 5.9748
_cell_length_c 10.1500
_cell_angle_alpha 107.12
_cell_angle_beta 127.83
_cell_angle_gamma 90.00
loop_
_symmetry_equiv_pos_as_xyz
'x,y,z'
loop_
_atom_site_label
_atom_site_type_symbol
_atom_site_fract_x
_atom_site_fract_y
_atom_site_fract_z
_atom_site_occupancy
Sc1 Sc 0.5912 0.0956 0.2866 1
Sc2 Sc 0.8046 0.3089 0.7134 1
Sc3 Sc 0.1954 0.5956 0.2866 1
Sc4 Sc 0.4088 0.8089 0.7134 1
Tb1 Tb 0.0715 0.7914 0.5000 1
Tb2 Tb 0.8587 0.3452 0.0909 1
Tb3 Tb 0.5455 0.3170 0.7139 1
Tb4 Tb 0.9285 0.2914 0.5000 1
Tb5 Tb 0.2678 0.7543 0.9091 1
Tb6 Tb 0.6684 0.8170 0.7139 1
Tb7 Tb 0.7322 0.8452 0.0909 1
Tb8 Tb 0.3316 0.1030 0.2861 1
Tb9 Tb 0.1413 0.2543 0.9091 1
Tb10 Tb 0.4545 0.6030 0.2861 1
Dy1 Dy 0.8019 0.7637 0.5000 1
Dy2 Dy 0.0000 0.8570 0.0000 1
Dy3 Dy 0.5000 0.3570 0.0000 1
Dy4 Dy 0.1981 0.2637 0.5000 1
# Size of the total moment: 0.00 μB per atom
# Calculated volume: 30.7 Å³ per atom
# Total DFT energy (no corrections): -4.808 eV per atom
# E above lowest polymorph: 17.2 kJ/mol of atoms
# Energy of formation from the pure elements: 1.75 eV/f.u.
# Fermi-level density of states: 28.7 states/eV per cell

# K2NdCd2Se4, optimized geometry, DFT PBE-GGA
data_K2NdCd2Se4
_chemical_formula_sum 'K2 Nd1 Cd2 Se4'
_symmetry_space_group_name_H-M 'P 1'
_symmetry_Int_Tables_number 1
_cell_length_a 4.2622
_cell_length_b 8.3617
_cell_length_c 8.6472
_cell_angle_alpha 113.10
_cell_angle_beta 104.27
_cell_angle_gamma 90.00
loop_
_symmetry_equiv_pos_as_xyz
'x,y,z'
loop_
_atom_site_label
_atom_site_type_symbol
_atom_site_fract_x
_atom_site_fract_y
_atom_site_fract_z
_atom_site_occupancy
Se1 Se 0.8072 0.7711 0.6144 1
Se2 Se 0.5233 0.7690 0.0467 1
Se3 Se 0.1928 0.2289 0.3856 1
Se4 Se 0.4767 0.2310 0.9533 1
Cd1 Cd 0.3120 0.9831 0.6240 1
Cd2 Cd 0.6880 0.0169 0.3760 1
Nd1 Nd 0.0000 0.0000 0.0000 1
K1 K 0.8743 0.4400 0.7485 1
K2 K 0.1257 0.5600 0.2515 1
# E_form (uncorrected): -1.09 eV/atom
# Size of the total moment: 0.00 μB per atom
# Calculated volume: 30.3 Å³ per atom
# Total DFT energy (no corrections): -3.616 eV per atom
# Fermi-level density of states: 3.6 states/eV per cell

# Cd2ReSb, optimized geometry, DFT PBE-GGA
data_Cd2ReSb
_chemical_formula_sum 'Cd2 Re1 Sb1'
_symmetry_space_group_name_H-M 'P 1'
_symmetry_Int_Tables_number 1
_cell_length_a 2.9812
_cell_length_b 2.9812
_cell_length_c 10.7864
_cell_angle_alpha 90.00
_cell_angle_beta 90.00
_cell_angle_gamma 119.06
loop_
_symmetry_equiv_pos_as_xyz
'x,y,z'
loop_
_atom_site_label
_atom_site_type_symbol
_atom_site_fract_x
_atom_site_fract_y
_atom_site_fract_z
_atom_site_occupancy
Cd1 Cd 0.0000 0.0000 0.0250 1
Cd2 Cd 0.0000 0.0000 0.4750 1
Sb1 Sb 0.5000 0.5000 0.7500 1
Re1 Re 0.5000 0.5000 0.2500 1
# E_form (uncorrected): 0.62 eV/atom
# Size of the total moment: 0.00 μB per atom
# Calculated volume: 20.9 Å³ per atom
# Total DFT energy (no corrections): -3.977 eV per atom
# Fermi-level density of states: 2.4 states/eV per cell

Please write out number 1 again, unchanged.
# Tb5Dy2Sc2, optimized geometry, DFT PBE-GGA
data_Tb5Dy2Sc2
_chemical_formula_sum 'Tb10 Dy4 Sc4'
_symmetry_space_group_name_H-M 'P 1'
_symmetry_Int_Tables_number 1
_cell_length_a 12.4497
_cell_length_b 5.9748
_cell_length_c 10.1500
_cell_angle_alpha 107.12
_cell_angle_beta 127.83
_cell_angle_gamma 90.00
loop_
_symmetry_equiv_pos_as_xyz
'x,y,z'
loop_
_atom_site_label
_atom_site_type_symbol
_atom_site_fract_x
_atom_site_fract_y
_atom_site_fract_z
_atom_site_occupancy
Sc1 Sc 0.5912 0.0956 0.2866 1
Sc2 Sc 0.8046 0.3089 0.7134 1
Sc3 Sc 0.1954 0.5956 0.2866 1
Sc4 Sc 0.4088 0.8089 0.7134 1
Tb1 Tb 0.0715 0.7914 0.5000 1
Tb2 Tb 0.8587 0.3452 0.0909 1
Tb3 Tb 0.5455 0.3170 0.7139 1
Tb4 Tb 0.9285 0.2914 0.5000 1
Tb5 Tb 0.2678 0.7543 0.9091 1
Tb6 Tb 0.6684 0.8170 0.7139 1
Tb7 Tb 0.7322 0.8452 0.0909 1
Tb8 Tb 0.3316 0.1030 0.2861 1
Tb9 Tb 0.1413 0.2543 0.9091 1
Tb10 Tb 0.4545 0.6030 0.2861 1
Dy1 Dy 0.8019 0.7637 0.5000 1
Dy2 Dy 0.0000 0.8570 0.0000 1
Dy3 Dy 0.5000 0.3570 0.0000 1
Dy4 Dy 0.1981 0.2637 0.5000 1
# Size of the total moment: 0.00 μB per atom
# Calculated volume: 30.7 Å³ per atom
# Total DFT energy (no corrections): -4.808 eV per atom
# E above lowest polymorph: 17.2 kJ/mol of atoms
# Energy of formation from the pure elements: 1.75 eV/f.u.
# Fermi-level density of states: 28.7 states/eV per cell